Record 1
Material: Ac8RuPt3Cl4
Method: DFT, PBE
State: optimized geometry

Cell and atoms, written as CIF:
```
data_Ac8RuPt3Cl4
_space_group_name_H-M_alt 'C 1 2/m 1'
_space_group_IT_number 12
_space_group_name_Hall '-C 2y'
_cell_length_a 15.2182
_cell_length_b 8.7876
_cell_length_c 9.4252
_cell_angle_alpha 90.00
_cell_angle_beta 122.62
_cell_angle_gamma 90.00
loop_
_atom_site_label
_atom_site_type_symbol
_atom_site_fract_x
_atom_site_fract_y
_atom_site_fract_z
Ac1 Ac 0.0133 0.2440 0.2963
Ac2 Ac 0.2307 0.0000 0.7037
Ac3 Ac 0.2351 0.5000 0.7050
Ru1 Ru 0.0000 0.0000 0.5000
Pt1 Pt 0.0000 0.5000 0.5000
Pt2 Pt 0.2500 0.2500 0.5000
Cl1 Cl 0.0000 0.0000 0.0000
Cl2 Cl 0.0000 0.5000 0.0000
Cl3 Cl 0.2500 0.2500 0.0000
```

ΔE_f (raw): -21.368 eV/f.u.

***

Record 2
Material: Ac6Ru2PtCl3
Method: DFT, PBE
State: optimized geometry

Cell and atoms, written as CIF:
```
data_Ac6Ru2PtCl3
_space_group_name_H-M_alt 'C 1 2/m 1'
_space_group_IT_number 12
_space_group_name_Hall '-C 2y'
_cell_length_a 7.4733
_cell_length_b 12.9591
_cell_length_c 8.3848
_cell_angle_alpha 90.00
_cell_angle_beta 107.09
_cell_angle_gamma 90.00
loop_
_atom_site_label
_atom_site_type_symbol
_atom_site_fract_x
_atom_site_fract_y
_atom_site_fract_z
Ac1 Ac 0.2217 0.0000 0.2028
Ac2 Ac 0.2394 0.3278 0.2033
Ru1 Ru 0.0000 0.1662 0.0000
Pt1 Pt 0.0000 0.5000 0.0000
Cl1 Cl 0.0000 0.0000 0.5000
Cl2 Cl 0.0000 0.3247 0.5000
```

ΔE_f (raw): -13.670 eV/f.u.

***

Record 3
Material: Ac6Ru2PtCl2
Method: DFT, PBE
State: optimized geometry

Cell and atoms, written as CIF:
```
data_Ac6Ru2PtCl2
_space_group_name_H-M_alt 'C 1 2/m 1'
_space_group_IT_number 12
_space_group_name_Hall '-C 2y'
_cell_length_a 7.5744
_cell_length_b 13.0314
_cell_length_c 8.1560
_cell_angle_alpha 90.00
_cell_angle_beta 108.40
_cell_angle_gamma 90.00
loop_
_atom_site_label
_atom_site_type_symbol
_atom_site_fract_x
_atom_site_fract_y
_atom_site_fract_z
Ac1 Ac 0.2252 0.0000 0.2040
Ac2 Ac 0.2435 0.3275 0.2085
Ru1 Ru 0.0000 0.1714 0.0000
Pt1 Pt 0.0000 0.5000 0.0000
Cl1 Cl 0.0000 0.3311 0.5000
```

ΔE_f (raw): -10.095 eV/f.u.

***

Record 4
Material: Ac4PtS2Cl
Method: DFT, PBE
State: optimized geometry

Cell and atoms, written as CIF:
```
data_Ac4PtS2Cl
_space_group_name_H-M_alt 'P 1 2/m 1'
_space_group_IT_number 10
_space_group_name_Hall '-P 2y'
_cell_length_a 7.6155
_cell_length_b 4.2434
_cell_length_c 7.7472
_cell_angle_alpha 90.00
_cell_angle_beta 108.85
_cell_angle_gamma 90.00
loop_
_atom_site_label
_atom_site_type_symbol
_atom_site_fract_x
_atom_site_fract_y
_atom_site_fract_z
Ac1 Ac 0.2374 0.0000 0.2459
Ac2 Ac 0.2396 0.5000 0.7360
Pt1 Pt 0.0000 0.5000 0.0000
S1 S 0.0000 0.0000 0.5000
S2 S 0.5000 0.5000 0.5000
Cl1 Cl 0.5000 0.0000 0.0000
```

ΔE_f (raw): -13.148 eV/f.u.